Below is a geometry-optimized AcLa5Tl4 structure, with properties calculated at the PBE level.

```
data_AcLa5Tl4
_chemical_formula_sum 'Ac1 La5 Tl4'
_cell_length_a 3.7686
_cell_length_b 3.7686
_cell_length_c 23.2197
_cell_angle_alpha 90.00
_cell_angle_beta 90.00
_cell_angle_gamma 90.00
_symmetry_space_group_name_H-M 'P 4/m m m'
_symmetry_Int_Tables_number 123
_symmetry_space_group_name_Hall '-P 4 2'
loop_
_atom_site_label
_atom_site_fract_x
_atom_site_fract_y
_atom_site_fract_z
Ac1 0.0000 0.0000 0.0000
La1 0.5000 0.5000 0.1176
La2 0.5000 0.5000 0.3080
La3 0.5000 0.5000 0.5000
Tl1 0.0000 0.0000 0.2116
Tl2 0.0000 0.0000 0.4039
```

Summary:
E_form	-334	meV/atom
N(E_F)	1.127	states/eV/atom
size of the total moment	0.00	Bohr magnetons per cell